No. 1
Computed, not measured: a relaxed structure of Th3As5S12 at the PBE level of DFT.

Structure (extended XYZ):
```
80
Lattice="13.582 0.000 0.000 -4.527 12.805 0.000 -4.527 -6.403 11.089" Properties=species:S:1:pos:R:3 pbc="T T T"
As 0.000 0.000 0.000
Th -3.395 2.401 9.703
S 1.768 -1.613 10.109
S -2.893 7.211 8.714
S 2.893 1.548 3.657
S 1.768 1.656 10.183
As 3.395 2.401 1.386
Th 3.395 0.000 8.317
S -4.374 4.989 10.602
S 5.023 -1.656 10.183
As 5.659 3.201 8.317
S -0.630 0.808 2.375
As -2.264 6.403 0.000
Th 7.923 8.803 1.386
As -4.527 3.201 5.545
As 1.132 -3.201 8.317
S 8.902 1.414 0.488
As 7.923 -0.800 6.931
S 7.420 -0.808 2.375
S 4.374 2.072 6.525
S 6.161 7.143 6.032
S -2.417 2.917 7.013
Th 7.923 4.002 1.386
As 5.659 5.602 4.159
S -1.292 -3.525 7.920
As 6.791 0.000 0.000
S 5.499 -0.982 6.452
Th 3.395 7.203 6.931
As 1.132 4.002 9.703
S -0.495 4.789 0.981
As 3.395 9.604 2.772
S -3.555 10.910 1.468
S 8.425 0.740 5.057
S 5.819 9.928 3.169
S 0.153 4.331 4.564
S -1.292 4.507 9.621
S 2.417 -2.072 6.525
As 2.264 3.201 5.545
Th -5.659 6.403 8.317
S -1.634 -0.740 5.057
S 9.208 -2.917 7.013
Th 10.186 0.000 2.772
Th 5.659 0.800 4.159
S 2.759 8.016 0.981
S -0.972 7.385 4.638
S 9.550 6.445 1.888
As -3.395 7.203 4.159
As 5.659 -4.002 9.703
S -2.417 -4.989 10.602
S 6.944 11.391 0.488
S -0.495 8.059 0.907
S 1.292 0.982 6.452
As -2.264 -3.201 5.545
S 5.023 1.613 10.109
S 0.630 7.951 7.432
S 3.236 5.420 4.638
As 4.527 -3.201 5.545
S 6.944 3.486 4.076
S -3.898 5.662 6.032
S 1.634 4.854 7.432
S -1.768 0.043 9.202
S 5.157 5.594 8.714
As -1.132 10.404 1.386
S 10.026 2.877 3.169
S 2.111 8.474 4.564
Th -1.132 5.602 6.931
Th 1.132 -0.800 4.159
S 5.819 1.895 1.468
As -1.132 0.800 6.931
S -5.023 -0.043 9.202
As 4.527 6.403 0.000
S -4.680 9.319 4.076
S 2.759 4.746 0.907
Th -3.395 -2.401 9.703
Th 1.132 6.403 2.772
As -1.132 3.201 2.772
S 8.083 -4.507 9.621
S 3.898 -1.548 3.657
S 6.296 6.360 1.888
S -5.499 3.525 7.920
```

Results
**Space group**: No. 230
**Formation energy (no corrections)**: -0.68 eV per atom
**Uncorrected energy**: -5.43 eV per atom
**DOS(E_F)**: 47.099 states/eV/cell

***

No. 2
Computed, not measured: a relaxed structure of La7TbPr3 at the PBE level of DFT.

Structure (extended XYZ):
```
11
Lattice="0.217 6.077 0.541 -6.862 -2.366 -4.849 -4.729 -3.450 6.476" Properties=species:S:1:pos:R:3 pbc="T T T"
Tb -5.687 0.131 1.084
Pr -6.417 -2.592 -2.487
Pr 0.109 3.039 0.271
La -8.555 0.500 -1.808
La -5.795 -2.908 0.813
Pr -5.174 -3.224 4.113
La -2.819 -0.239 3.975
La -7.304 -0.135 4.830
La -4.069 0.396 -2.663
La -8.975 0.211 1.711
La -2.399 0.050 0.457
```

Results
**Energy of formation**: 0.199 eV per atom
**Space group**: No. 12
**Uncorrected energy**: -4.66 eV per atom
**DOS(E_F)**: 17.611 states/eV/cell

***

No. 3
Computed, not measured: a relaxed structure of NbCd2H at the PBE level of DFT.

Structure (extended XYZ):
```
8
Lattice="6.183 0.000 0.000 0.000 6.183 0.000 3.091 3.091 3.619" Properties=species:S:1:pos:R:3 pbc="T T T"
Cd 2.256 4.637 0.905
Cd 3.927 1.546 0.905
Nb 0.000 0.000 0.000
H 3.091 6.183 1.810
Nb 6.183 3.091 1.810
Cd 4.637 5.347 2.715
H 3.091 3.091 0.000
Cd 7.728 7.019 2.715
```

Results
**Space group**: No. 122
**Uncorrected energy**: -3.08 eV per atom
**Energy above the most stable polymorph in this dataset**: 0 meV per atom
**DOS(E_F)**: 3.466 states/eV/cell